Entry 1:
## TlGeTeBr (PBE)

Data for a geometry-optimized TlGeTeBr structure.

Properties
- total magnetization (μB/f.u.) = 0.00
- formation energy (no corrections) (eV per formula unit) = -1.4

The structure in POSCAR format:
```
TlGeTeBr
1.0
4.195 0.002 0.002
2.096 3.635 0.010
2.095 1.229 9.827
Ge Br Te Tl
1 1 1 1
Cartesian
6.187 4.222 9.773
4.092 3.018 3.333
6.188 1.802 8.280
6.188 4.225 5.210
```


Entry 2:
## Ag2HgOsPd (PBE)

Data for a geometry-optimized Ag2HgOsPd structure.

Properties
- D(E_F) (states/eV/f.u.) = 4.06
- total magnetization (μB/f.u.) = 1.98
- energy of formation (eV/atom) = 1.49

The structure in POSCAR format:
```
Ag2HgOsPd
1.0
5.064 0.000 0.000
0.000 5.148 0.000
0.000 0.000 5.064
Os Ag Pd Hg
1 2 1 1
Cartesian
0.000 0.000 0.000
0.000 0.000 2.532
2.532 0.000 0.000
2.532 2.574 2.532
0.000 2.574 0.000
```


Entry 3:
## CeDyTm2Se6 (PBE)

Data for a geometry-optimized CeDyTm2Se6 structure.

Properties
- D(E_F) (states/eV/f.u.) = 4.92
- total magnetization (μB/f.u.) = 1.00
- formation energy (no corrections) (eV per formula unit) = -18.1

The structure in POSCAR format:
```
CeDyTm2Se6
1.0
-4.484 -3.004 -4.827
-1.320 -7.116 0.223
-6.917 -2.325 2.441
Tm Se Dy Ce
2 6 1 1
Cartesian
-6.749 -2.360 2.307
-6.146 -6.267 -1.253
-4.764 -4.057 -2.317
-6.589 -7.678 -3.648
-6.283 -4.919 1.270
-3.934 -7.729 -0.307
-8.613 -4.872 -1.662
-7.885 -8.096 0.100
-2.174 -3.323 -1.343
-8.609 -9.529 -2.365
```


Entry 4:
## DyMnCo2 (PBE)

Data for a geometry-optimized DyMnCo2 structure.

Properties
- D(E_F) (states/eV/f.u.) = 2.50
- total magnetization (μB/f.u.) = 4.81
- energy of formation (eV/atom) = 0.04

The structure in POSCAR format:
```
DyMnCo2
1.0
4.393 0.000 0.000
2.197 3.805 0.000
2.197 1.268 3.587
Co Dy Mn
2 1 1
Cartesian
6.590 3.805 2.690
2.197 1.268 0.897
0.000 0.000 0.000
4.393 2.536 1.794
```


Entry 5:
## ScNb2Cl2 (PBE)

Data for a geometry-optimized ScNb2Cl2 structure.

Properties
- D(E_F) (states/eV/f.u.) = 7.59
- total magnetization (μB/f.u.) = 0.30
- formation energy (no corrections) (eV per formula unit) = 2.1

The structure in POSCAR format:
```
ScNb2Cl2
1.0
-2.900 -3.678 6.393
3.533 -6.723 -2.265
2.401 0.750 1.520
Nb Cl Sc
4 4 2
Cartesian
-0.033 -7.560 3.779
0.666 -2.840 0.349
-1.341 -3.619 3.903
1.975 -6.782 0.225
2.446 -7.790 2.819
-0.015 -5.310 5.483
3.049 -4.341 0.165
0.589 -1.861 2.829
0.317 -5.200 2.064
0.000 0.000 0.000
```


Entry 6:
## MnCrFeP (PBE)

Data for a geometry-optimized MnCrFeP structure.

Properties
- D(E_F) (states/eV/f.u.) = 2.33
- total magnetization (μB/f.u.) = 2.05
- energy of formation (eV/atom) = -0.24

The structure in POSCAR format:
```
MnCrFeP
1.0
-3.860 -0.668 -0.541
-1.335 -1.113 -3.552
-1.310 -3.690 -0.553
Fe Cr P Mn
1 1 1 1
Cartesian
-1.626 -1.368 -1.162
-4.879 -4.103 -3.485
-3.253 -2.735 -2.324
0.000 0.000 0.000
```


Entry 7:
## Sm4YSb5 (PBE)

Data for a geometry-optimized Sm4YSb5 structure.

Properties
- D(E_F) (states/eV/f.u.) = 1.95
- total magnetization (μB/f.u.) = 0.00
- formation energy (no corrections) (eV per formula unit) = -11.7

The structure in POSCAR format:
```
Sm4YSb5
1.0
-4.326 0.935 0.534
-0.926 -0.757 -6.184
0.493 -10.893 4.467
Sb Y Sm
5 1 4
Cartesian
-2.582 -1.653 0.589
-0.463 -0.378 -3.092
-2.178 -9.061 -1.773
-1.318 -4.705 -2.435
-3.442 -6.009 1.251
0.000 0.000 0.000
-3.910 -6.412 -1.838
-1.707 -8.647 1.314
-0.849 -4.302 0.654
-3.052 -2.067 -2.498
```


Entry 8:
## Te3HIr (PBE)

Data for a geometry-optimized Te3HIr structure.

Properties
- D(E_F) (states/eV/f.u.) = 4.00
- total magnetization (μB/f.u.) = 0.00
- raw total energy (eV for the cell shown) = -16.7

The structure in POSCAR format:
```
Te3HIr
1.0
-0.807 -4.459 -0.616
2.605 -0.973 3.630
-3.671 0.290 2.712
H Te Ir
1 3 1
Cartesian
0.000 0.000 0.000
-1.835 0.145 1.356
-0.403 -2.229 -0.308
1.303 -0.487 1.815
-0.936 -2.571 2.863
```


Entry 9:
## Rh2W (PBE)

Data for a geometry-optimized Rh2W structure.

Properties
- D(E_F) (states/eV/f.u.) = 1.92
- total magnetization (μB/f.u.) = 0.00
- energy of formation (eV/atom) = -0.25

The structure in POSCAR format:
```
Rh2W
1.0
-1.576 -1.316 1.875
3.010 -6.639 -0.068
2.783 1.229 3.202
W Rh
2 4
Cartesian
0.651 -2.019 3.255
0.964 -5.316 1.203
2.992 -6.612 -0.064
0.477 -2.650 0.603
2.714 -3.368 1.980
3.209 -6.046 2.578
```


Entry 10:
## TlReBr (PBE)

Data for a geometry-optimized TlReBr structure.

Properties
- D(E_F) (states/eV/f.u.) = 2.95
- total magnetization (μB/f.u.) = 2.51
- formation energy (no corrections) (eV per formula unit) = 4.1

The structure in POSCAR format:
```
TlReBr
1.0
4.716 0.000 0.000
2.358 4.084 0.000
2.358 1.361 3.851
Re Tl Br
1 1 1
Cartesian
7.074 4.084 2.888
0.000 0.000 0.000
4.716 2.723 1.925
```


Entry 11:
## RbNa2ZnGa (PBE)

Data for a geometry-optimized RbNa2ZnGa structure.

Properties
- D(E_F) (states/eV/f.u.) = 2.54
- total magnetization (μB/f.u.) = 0.00
- energy of formation (eV/atom) = 0.07

The structure in POSCAR format:
```
RbNa2ZnGa
1.0
-1.434 4.585 3.397
-2.832 -3.613 3.680
4.031 -0.601 2.513
Zn Na Rb Ga
1 2 1 1
Cartesian
0.000 0.000 0.000
-1.416 -1.806 1.840
-0.717 2.292 1.699
-0.117 0.186 4.795
2.016 -0.300 1.256
```


Entry 12:
## Pr4Nd6Mg (PBE)

Data for a geometry-optimized Pr4Nd6Mg structure.

Properties
- D(E_F) (states/eV/f.u.) = 15.66
- total magnetization (μB/f.u.) = 0.00
- energy of formation (eV/atom) = 0.24

The structure in POSCAR format:
```
Pr4Nd6Mg
1.0
7.546 -2.923 -5.518
-5.208 8.079 1.880
-1.884 2.923 9.156
Nd Pr Mg
6 4 1
Cartesian
1.169 2.578 -1.819
2.831 0.000 1.819
-1.387 5.045 4.209
-3.840 5.957 8.026
-4.935 7.655 5.629
3.523 0.424 -1.309
0.177 2.908 1.980
-3.333 5.171 1.219
-1.214 1.883 5.858
-2.268 9.119 7.498
0.000 0.000 0.000
```


Entry 13:
## NaSrH6Pt (PBE)

Data for a geometry-optimized NaSrH6Pt structure.

Properties
- D(E_F) (states/eV/f.u.) = 1.74
- total magnetization (μB/f.u.) = 0.00
- raw total energy (eV for the cell shown) = -31.9

The structure in POSCAR format:
```
NaSrH6Pt
1.0
-0.944 -1.303 -4.950
-0.341 -5.014 -1.352
-4.675 0.084 0.870
Sr Pt H Na
1 1 6 1
Cartesian
-5.959 -6.233 -5.432
-2.766 -2.064 -1.666
-3.655 -2.871 -0.484
-4.054 -2.497 -2.661
-1.470 -1.887 -0.604
-1.839 -1.071 -2.662
-3.762 -0.768 -1.261
-1.815 -3.289 -2.322
-3.193 -4.169 -3.766
```


Entry 14:
## MgZn2O3 (PBE)

Data for a geometry-optimized MgZn2O3 structure.

Properties
- D(E_F) (states/eV/f.u.) = 0.00
- total magnetization (μB/f.u.) = 0.00
- formation energy (no corrections) (eV per formula unit) = -10.6

The structure in POSCAR format:
```
MgZn2O3
1.0
3.051 0.000 0.000
-1.526 2.642 0.000
0.000 0.000 7.456
Zn O Mg
2 3 1
Cartesian
0.000 1.762 4.987
1.526 0.881 2.469
0.000 0.000 3.728
1.526 0.881 6.261
0.000 1.762 1.195
0.000 0.000 0.000
```


Entry 15:
## Tc2HgRh2 (PBE)

Data for a geometry-optimized Tc2HgRh2 structure.

Properties
- D(E_F) (states/eV/f.u.) = 4.46
- total magnetization (μB/f.u.) = 0.00
- energy of formation (eV/atom) = 0.24

The structure in POSCAR format:
```
Tc2HgRh2
1.0
7.660 0.000 0.000
0.000 7.660 0.000
0.000 0.000 2.769
Tc Hg Rh
4 2 4
Cartesian
0.898 2.932 0.000
4.728 0.898 0.000
2.932 6.762 0.000
6.762 4.728 0.000
0.000 0.000 0.000
3.830 3.830 0.000
6.357 2.527 1.384
2.527 1.303 1.384
1.303 5.133 1.384
5.133 6.357 1.384
```


Entry 16:
## CeY4Er8 (PBE)

Data for a geometry-optimized CeY4Er8 structure.

Properties
- D(E_F) (states/eV/f.u.) = 20.41
- total magnetization (μB/f.u.) = 0.00
- energy of formation (eV/atom) = 0.17

The structure in POSCAR format:
```
CeY4Er8
1.0
-4.178 2.188 -5.522
-2.664 -4.562 4.983
0.908 6.939 6.838
Ce Er Y
1 8 4
Cartesian
-0.878 1.189 5.910
-3.413 2.436 5.697
-2.521 2.130 0.602
-0.640 1.145 3.088
-1.828 4.545 3.184
-3.829 5.929 0.471
-5.294 3.421 3.211
-2.105 -1.363 5.827
-4.106 0.020 3.115
0.000 0.000 0.000
-1.332 -2.281 2.492
-3.421 -1.187 -0.270
-2.089 1.094 -2.761
```


Entry 17:
## K3TmU3S8 (PBE)

Data for a geometry-optimized K3TmU3S8 structure.

Properties
- D(E_F) (states/eV/f.u.) = 13.56
- total magnetization (μB/f.u.) = 8.00
- formation energy (no corrections) (eV per formula unit) = -23.0

The structure in POSCAR format:
```
K3TmU3S8
1.0
8.015 0.000 -0.001
-4.008 6.941 -0.025
-0.001 -4.602 7.532
S U K Tm
8 3 3 1
Cartesian
0.000 -0.003 5.231
1.985 -1.160 2.288
-2.023 3.499 5.219
6.029 -1.160 2.287
4.007 2.342 2.275
2.022 3.499 5.218
4.007 0.018 5.281
-0.001 2.321 2.225
2.003 1.170 3.753
4.007 -2.301 3.765
-2.004 1.170 3.753
2.004 3.470 -0.013
-2.004 3.470 -0.012
0.000 0.000 0.000
-0.001 -2.301 3.766
```


Entry 18:
## SrCaLa2S (PBE)

Data for a geometry-optimized SrCaLa2S structure.

Properties
- D(E_F) (states/eV/f.u.) = 8.58
- total magnetization (μB/f.u.) = 0.00
- formation energy (no corrections) (eV per formula unit) = -3.3

The structure in POSCAR format:
```
SrCaLa2S
1.0
-1.579 5.495 -0.716
-5.539 -1.585 0.046
-0.149 0.681 5.552
Ca La Sr S
1 2 1 1
Cartesian
-0.075 0.340 2.776
-2.770 -0.793 0.023
-0.789 2.747 -0.358
-3.633 2.295 2.441
0.000 0.000 0.000
```


Entry 19:
## Ca2BeBiO5 (PBE)

Data for a geometry-optimized Ca2BeBiO5 structure.

Properties
- D(E_F) (states/eV/f.u.) = 2.88
- total magnetization (μB/f.u.) = 0.74
- formation energy (no corrections) (eV per formula unit) = -19.4

The structure in POSCAR format:
```
Ca2BeBiO5
1.0
3.314 0.000 0.000
-1.657 6.659 0.000
0.000 0.000 10.698
O Ca Bi Be
10 4 2 2
Cartesian
0.000 4.285 4.363
1.657 6.279 5.112
0.000 3.710 7.458
0.000 4.671 0.113
0.000 6.635 8.273
0.000 0.381 10.461
1.657 0.025 2.924
1.657 2.949 2.109
1.657 2.374 9.712
1.657 1.989 5.462
1.657 5.535 1.680
0.000 1.726 3.718
0.000 1.124 7.028
1.657 4.934 9.067
0.000 2.566 0.534
1.657 4.093 5.883
1.657 0.704 9.655
0.000 5.956 4.306
```


Entry 20:
## GaCoRu2N (PBE)

Data for a geometry-optimized GaCoRu2N structure.

Properties
- D(E_F) (states/eV/f.u.) = 3.43
- total magnetization (μB/f.u.) = 0.00
- formation energy (no corrections) (eV per formula unit) = 0.0

The structure in POSCAR format:
```
GaCoRu2N
1.0
4.050 0.000 0.000
0.000 4.050 0.000
0.000 0.000 3.702
Ga Co Ru N
1 1 2 1
Cartesian
2.025 2.025 1.851
0.000 0.000 1.851
0.000 2.025 0.000
2.025 0.000 0.000
0.000 0.000 0.000
```